{
  "formula": "AsIrPt",
  "functional": "GGA-PBE",
  "state": "relaxed",
  "lattice_angstrom": [[0.0000, 2.9259, 2.9259], [2.9259, 0.0000, 2.9259], [2.9259, 2.9259, 0.0000]],
  "species": ["As", "Ir", "Pt"],
  "fractional_positions": [[0.0000, 0.0000, 0.0000], [0.7500, 0.7500, 0.7500], [0.2500, 0.2500, 0.2500]],
  "total_energy_ev_per_atom": -6.551,
  "sg": "F-43m",
  "crystal_system": "cubic"
}

***

{
  "formula": "AsIr2Pt",
  "functional": "GGA-PBE",
  "state": "relaxed",
  "lattice_angstrom": [[0.0000, 3.1462, 3.1462], [3.1462, 0.0000, 3.1462], [3.1462, 3.1462, 0.0000]],
  "species": ["As", "Ir", "Ir", "Pt"],
  "fractional_positions": [[0.0000, 0.0000, 0.0000], [0.5000, 0.5000, 0.5000], [0.7500, 0.7500, 0.7500], [0.2500, 0.2500, 0.2500]],
  "total_energy_ev_per_atom": -6.727,
  "sg": "F-43m",
  "crystal_system": "cubic"
}

***

{
  "formula": "Sr2As2IrPt",
  "functional": "GGA-PBE",
  "state": "relaxed",
  "lattice_angstrom": [[4.5301, 0.0000, 0.0000], [0.0000, 4.5849, 0.0000], [0.0000, 0.0000, 8.6118]],
  "species": ["Sr", "Sr", "As", "As", "Ir", "Pt"],
  "fractional_positions": [[0.0000, 0.0000, 0.2459], [0.0000, 0.0000, 0.7541], [0.0000, 0.5000, 0.0000], [0.5000, 0.0000, 0.5000], [0.5000, 0.5000, 0.0000], [0.5000, 0.5000, 0.5000]],
  "total_energy_ev_per_atom": -4.994,
  "sg": "Pmmm",
  "crystal_system": "orthorhombic"
}

***

{
  "formula": "PuAs2Ir2",
  "functional": "GGA-PBE",
  "state": "relaxed",
  "lattice_angstrom": [[4.2385, 0.0000, 0.0000], [0.0000, 4.2385, 0.0000], [0.0000, 0.0000, 10.2032]],
  "species": ["Pu", "Pu", "As", "As", "As", "As", "Ir", "Ir", "Ir", "Ir"],
  "fractional_positions": [[0.2500, 0.2500, 0.2462], [0.7500, 0.7500, 0.7538], [0.2500, 0.2500, 0.6382], [0.2500, 0.7500, 0.0000], [0.7500, 0.2500, 0.0000], [0.7500, 0.7500, 0.3618], [0.2500, 0.2500, 0.8753], [0.2500, 0.7500, 0.5000], [0.7500, 0.2500, 0.5000], [0.7500, 0.7500, 0.1247]],
  "total_energy_ev_per_atom": -8.798,
  "sg": "P4/nmm",
  "crystal_system": "tetragonal"
}

***

{
  "formula": "RbAsIr",
  "functional": "GGA-PBE",
  "state": "relaxed",
  "lattice_angstrom": [[0.0000, 3.3311, 3.3311], [3.3311, 0.0000, 3.3311], [3.3311, 3.3311, 0.0000]],
  "species": ["Rb", "As", "Ir"],
  "fractional_positions": [[0.0000, 0.0000, 0.0000], [0.5000, 0.5000, 0.5000], [0.7500, 0.7500, 0.7500]],
  "total_energy_ev_per_atom": -3.959,
  "e_above_lowest_polymorph_mev_per_atom": 0,
  "sg": "F-43m",
  "crystal_system": "cubic"
}

***

{
  "formula": "RbAsIr",
  "functional": "GGA-PBE",
  "state": "relaxed",
  "lattice_angstrom": [[0.0000, 3.4697, 3.4697], [3.4697, 0.0000, 3.4697], [3.4697, 3.4697, 0.0000]],
  "species": ["Rb", "As", "Ir"],
  "fractional_positions": [[0.0000, 0.0000, 0.0000], [0.7500, 0.7500, 0.7500], [0.2500, 0.2500, 0.2500]],
  "total_energy_ev_per_atom": -2.871,
  "e_above_lowest_polymorph_mev_per_atom": 1088,
  "sg": "F-43m",
  "crystal_system": "cubic"
}